(1)
Here is NpZnTc after structural relaxation from Alexandria via LeMat-Bulk. Energies are from PBE-GGA.

The space group is I4mm (No. 107) and the conventional cell measures 3.143, 3.143 and 11.075 Å, with angles of 90.00, 90.00 and 90.00 degrees. The inequivalent atoms are Np at (0.000, 0.000, 0.000), Zn at (0.000, 0.000, 0.710) and Tc at (0.000, 0.000, 0.350).

Its formation energy is 0.19 eV/atom. As for the spin magnetization: 0.845 μB per atom. The value obtained for the polymorph energy (0 for the lowest one) is 0.00 eV per formula unit.

***

(2)
Here is NpZn4Tc after structural relaxation from Alexandria via LeMat-Bulk. Energies are from PBE-GGA.

The space group is F-43m (No. 216) and the conventional cell measures 7.295, 7.295 and 7.295 Å, with angles of 90.00, 90.00 and 90.00 degrees. The inequivalent atoms are Np at (0.000, 0.000, 0.000), Zn at (0.124, 0.124, 0.376) and Tc at (0.250, 0.250, 0.750).

Its formation energy is 0.08 eV/atom. As for the spin magnetization: 0.460 μB per atom.

***

(3)
Here is NpZnTc after structural relaxation from Alexandria via LeMat-Bulk. Energies are from PBE-GGA.

The space group is P3m1 (No. 156) and the conventional cell measures 2.7671, 2.7671 and 7.6265 Å, with angles of 90.00, 90.00 and 120.00 degrees. The inequivalent atoms are Np at (0.0000, 0.0000, 0.0000), Zn at (0.6667, 0.3333, 0.3579) and Tc at (0.3333, 0.6667, 0.6517).

Its formation energy is 0.26 eV/atom. As for the spin magnetization: 0.917 μB per atom. The value obtained for the polymorph energy (0 for the lowest one) is 0.21 eV per formula unit.